1.
# Se2Br, relaxed, DFT PBE
data_Se2Br
_chemical_formula_sum 'Se4 Br2'
_cell_length_a 3.928
_cell_length_b 3.928
_cell_length_c 10.885
_cell_angle_alpha 90.00
_cell_angle_beta 90.00
_cell_angle_gamma 90.00
_space_group_name_H-M_alt 'I 4/m m m'
_space_group_IT_number 139
_space_group_name_Hall '-I 4 2'
loop_
_atom_site_label
_atom_site_type_symbol
_atom_site_fract_x
_atom_site_fract_y
_atom_site_fract_z
Se1 Se 0.000 0.000 0.241
Br1 Br 0.000 0.000 0.000
# Size of the total moment = 0.00 Bohr magnetons per cell
# VASP energy = -0.207 Ry/atom
# N(E_F) = 1.84 states/eV per cell


2.
# ScPb, relaxed, DFT PBE
data_ScPb
_chemical_formula_sum 'Sc2 Pb2'
_cell_length_a 3.285
_cell_length_b 3.285
_cell_length_c 10.141
_cell_angle_alpha 90.00
_cell_angle_beta 90.00
_cell_angle_gamma 90.00
_space_group_name_H-M_alt 'P 4/n m m'
_space_group_IT_number 129
loop_
_space_group_symop_operation_xyz
'x,y,z'
'-x,-y,-z'
'-y+1/2,x,z'
'y+1/2,-x,-z'
'-x+1/2,-y+1/2,z'
'x+1/2,y+1/2,-z'
'y,-x+1/2,z'
'-y,x+1/2,-z'
'x+1/2,-y,-z'
'-x+1/2,y,z'
'-y,-x,-z'
'y,x,z'
'-x,y+1/2,-z'
'x,-y+1/2,z'
'y+1/2,x+1/2,-z'
'-y+1/2,-x+1/2,z'
loop_
_atom_site_label
_atom_site_type_symbol
_atom_site_fract_x
_atom_site_fract_y
_atom_site_fract_z
Sc1 Sc 0.250 0.250 0.112
Pb1 Pb 0.250 0.250 0.654
# Size of the total moment = 0.00 Bohr magnetons per cell
# Formation enthalpy at 0 K = -10 kJ/mol of formula units
# N(E_F) = 6.20 states/eV per cell


3.
# Zn3GaSn, relaxed, DFT PBE
data_Zn3GaSn
_chemical_formula_sum 'Zn3 Ga1 Sn1'
_cell_length_a 4.834
_cell_length_b 4.834
_cell_length_c 4.834
_cell_angle_alpha 90.00
_cell_angle_beta 90.00
_cell_angle_gamma 90.00
_space_group_name_H-M_alt 'P m -3 m'
_space_group_IT_number 221
_space_group_name_Hall '-P 4 2 3'
loop_
_atom_site_label
_atom_site_type_symbol
_atom_site_fract_x
_atom_site_fract_y
_atom_site_fract_z
Zn1 Zn 0.000 0.000 0.500
Ga1 Ga 0.000 0.000 0.000
Sn1 Sn 0.500 0.500 0.500
# Size of the total moment = 0.00 Bohr magnetons per cell
# Formation enthalpy at 0 K = 177 kJ/mol of formula units
# N(E_F) = 2.76 states/eV per cell


4.
# CsOsPb2, relaxed, DFT PBE
data_CsOsPb2
_chemical_formula_sum 'Cs4 Os4 Pb8'
_cell_length_a 7.587
_cell_length_b 7.587
_cell_length_c 7.587
_cell_angle_alpha 90.00
_cell_angle_beta 90.00
_cell_angle_gamma 90.00
_space_group_name_H-M_alt 'F m -3 m'
_space_group_IT_number 225
_space_group_name_Hall '-F 4 2 3'
loop_
_atom_site_label
_atom_site_type_symbol
_atom_site_fract_x
_atom_site_fract_y
_atom_site_fract_z
Cs1 Cs 0.000 0.000 0.000
Os1 Os 0.000 0.000 0.500
Pb1 Pb 0.250 0.250 0.250
# Size of the total moment = 0.95 Bohr magnetons per cell
# Formation enthalpy at 0 K = 436 kJ/mol of formula units
# N(E_F) = 20.42 states/eV per cell


| no. | volume (Å³/atom) |
| --- | --- |
| 1 | 27.99 |
| 2 | 27.36 |
| 3 | 22.59 |
| 4 | 27.30 |